# MgTcOs2

A relaxed structure of MgTcOs2 (PBE, Alexandria via LeMat-Bulk).

Cell: 7.338 7.338 5.796 Å, 50.73 50.73 90.00°
Fractional coordinates of all 8 atoms:
Os: 0.675 0.125 0.250
Os: 0.075 0.625 0.250
Os: 0.375 0.325 0.750
Os: 0.875 0.925 0.750
Tc: 0.750 0.250 0.500
Tc: 0.000 0.000 0.000
Mg: 0.500 0.500 0.000
Mg: 0.250 0.750 0.500

D(E_F) ... 0.998 states/eV per atom
DFT formation energy ... 3.1 eV/f.u.
Total magnetization ... 0.00 μB per formula unit